Density functional theory data (PBE) for crystalline BaPm2OsO8 at its relaxed geometry.

## Properties
* total magnetic moment: 0.00 Bohr magnetons per cell
* total DFT energy (no corrections): -88.7 eV/f.u.
* formation energy from raw total energies: -2.197 eV per atom

```
BaPm2OsO8
1.0
3.621 -3.831 0.000
3.621 3.831 0.000
0.000 0.000 7.322
Ba Pm Os O
1 2 1 8
direct
0.000 0.000 0.000
0.500 0.500 0.242
0.500 0.500 0.758
0.000 0.000 0.500
0.184 0.184 0.318
0.184 0.184 0.682
0.245 0.755 0.500
0.328 0.672 0.000
0.672 0.328 0.000
0.755 0.245 0.500
0.816 0.816 0.318
0.816 0.816 0.682
```